CaSbW2 | meta-GGA SCAN | single point on PBEsol structure

Values from the calculation:
The calculation puts the energy relative to the elements, uncorrected at 2.44 eV/f.u.

a = 3.310 Å, b = 5.172 Å, c = 5.291 Å
α = 101.40°, β = 108.22°, γ = 90.00°
Element x y z (fractional)
W  0.261  0.328  0.523
W  0.739  0.672  0.477
Ca  0.500  0.000  0.000
Sb  0.000  0.500  0.000